(1)
# Tl2VBO

A geometry-optimized Tl2VBO structure (PBE+U, Alexandria via LeMat-Bulk). Values from VASP.

Structure (Quantum ESPRESSO input):
```
&SYSTEM
  ibrav = 0, nat = 5, ntyp = 4
/
ATOMIC_SPECIES
Tl 204.38 Tl.upf
B 10.81 B.upf
O 16.00 O.upf
V 50.94 V.upf
ATOMIC_POSITIONS crystal
Tl 0.000 0.000 0.500
Tl 0.500 0.000 0.000
B 0.500 0.500 0.500
O 0.000 0.500 0.000
V 0.000 0.000 0.000
CELL_PARAMETERS angstrom
5.673 0.000 0.000
0.000 3.620 0.000
0.000 0.000 5.673
```

Results
**Calculated total energy**: -20.6 eV/cell
**Total magnetic moment**: 1.873 μB/cell
**Crystal system**: tetragonal
**Density of states at the Fermi level**: 4.27 states/eV/f.u.
**Space-group type**: P4/mmm, No. 123

(2)
# TlVBO4

A geometry-optimized TlVBO4 structure (PBE+U, Alexandria via LeMat-Bulk). Values from VASP.

Structure (Quantum ESPRESSO input):
```
&SYSTEM
  ibrav = 0, nat = 14, ntyp = 4
/
ATOMIC_SPECIES
Tl 204.38 Tl.upf
V 50.94 V.upf
B 10.81 B.upf
O 16.00 O.upf
ATOMIC_POSITIONS crystal
Tl 0.620 0.750 0.876
Tl 0.380 0.250 0.124
V 0.782 0.750 0.470
V 0.218 0.250 0.530
B 0.202 0.750 0.372
B 0.798 0.250 0.628
O 0.012 0.471 0.645
O 0.988 0.971 0.355
O 0.988 0.529 0.355
O 0.012 0.029 0.645
O 0.361 0.750 0.264
O 0.639 0.250 0.736
O 0.478 0.750 0.555
O 0.522 0.250 0.445
CELL_PARAMETERS angstrom
-0.987 3.244 3.357
-4.282 -2.703 1.353
4.914 -6.754 2.057
```

Results
**Calculated total energy**: -97.9 eV/cell
**Total magnetic moment**: 1.996 μB/cell
**Crystal system**: monoclinic
**Density of states at the Fermi level**: 0.00 states/eV/f.u.
**Space-group type**: P2_1/m, No. 11

(3)
# Tl2VB2O6

A geometry-optimized Tl2VB2O6 structure (PBE+U, Alexandria via LeMat-Bulk). Values from VASP.

Structure (Quantum ESPRESSO input):
```
&SYSTEM
  ibrav = 0, nat = 11, ntyp = 4
/
ATOMIC_SPECIES
Tl 204.38 Tl.upf
V 50.94 V.upf
B 10.81 B.upf
O 16.00 O.upf
ATOMIC_POSITIONS crystal
Tl 0.779 0.779 0.662
Tl 0.221 0.221 0.338
V 0.000 0.000 0.000
B 0.385 0.385 0.846
B 0.615 0.615 0.154
O 0.767 0.767 0.163
O 0.302 0.767 0.163
O 0.767 0.302 0.163
O 0.233 0.698 0.837
O 0.698 0.233 0.837
O 0.233 0.233 0.837
CELL_PARAMETERS angstrom
5.141 0.000 0.000
2.570 4.452 0.000
2.570 1.484 7.040
```

Results
**Calculated total energy**: -75.7 eV/cell
**Total magnetic moment**: 0.999 μB/cell
**Crystal system**: trigonal
**Density of states at the Fermi level**: 0.00 states/eV/f.u.
**Space-group type**: R-3m, No. 166

no.,theoretical density (g cm⁻³)
1,6.93
2,5.82
3,5.95